(1)
Computed, not measured: a relaxed structure of Sr2ErSn3Pd4 at the PBE level of DFT.

Structure (POSCAR):
```
Sr2ErSn3Pd4
1.0
4.647 0.000 0.000
0.000 4.647 0.000
0.000 0.000 11.277
Sr Er Sn Pd
2 1 3 4
direct
0.000 0.500 0.231 Sr
0.500 0.000 0.769 Sr
0.000 0.000 0.500 Er
0.000 0.500 0.879 Sn
0.500 0.000 0.121 Sn
0.500 0.500 0.500 Sn
0.000 0.000 0.000 Pd
0.000 0.500 0.643 Pd
0.500 0.000 0.357 Pd
0.500 0.500 0.000 Pd
```

Output
Electronic total energy (eV per atom): -4.848

(2)
Computed, not measured: a relaxed structure of La4Pr3Sm at the PBE level of DFT.

Structure (POSCAR):
```
La4Pr3Sm
1.0
12.022 0.000 0.000
0.000 6.476 0.000
0.000 0.000 7.466
La Pr Sm
8 6 2
direct
0.000 0.167 0.000 La
0.000 0.668 0.750 La
0.249 0.999 0.249 La
0.251 0.001 0.749 La
0.500 0.332 0.250 La
0.500 0.833 0.500 La
0.749 0.001 0.749 La
0.751 0.999 0.249 La
0.000 0.167 0.499 Pr
0.250 0.500 0.000 Pr
0.250 0.500 0.500 Pr
0.500 0.833 0.999 Pr
0.750 0.500 0.000 Pr
0.750 0.500 0.500 Pr
0.000 0.667 0.250 Sm
0.500 0.333 0.750 Sm
```

Output
ΔE to the lowest computed polymorph (eV/atom): 0.000

(3)
Computed, not measured: a relaxed structure of Sm2Si2Tc at the PBE level of DFT.

Structure (POSCAR):
```
Sm2Si2Tc
1.0
-3.205 6.014 3.052
3.205 -6.014 3.052
3.205 6.014 -3.052
Sm Si Tc
4 4 2
direct
0.144 0.191 0.335 Sm
0.356 0.691 0.047 Sm
0.644 0.309 0.953 Sm
0.856 0.809 0.665 Sm
0.103 0.721 0.824 Si
0.397 0.221 0.618 Si
0.603 0.779 0.382 Si
0.897 0.279 0.176 Si
0.250 0.750 0.500 Tc
0.750 0.250 0.500 Tc
```

Output
Uncorrected formation energy (meV per atom): -503.6
ΔE to the lowest computed polymorph (eV/atom): 0.178

(4)
Computed, not measured: a relaxed structure of VMoOs at the PBE level of DFT.

Structure (POSCAR):
```
VMoOs
1.0
4.290 0.000 0.000
-2.145 3.715 0.000
0.000 0.000 2.737
V Mo Os
1 1 1
direct
0.000 0.000 0.000 V
0.667 0.333 0.302 Mo
0.333 0.667 0.678 Os
```

Output
ΔE to the lowest computed polymorph (eV/atom): 0.000

(5)
Computed, not measured: a relaxed structure of CdReS2 at the PBE level of DFT.

Structure (POSCAR):
```
CdReS2
1.0
5.830 0.000 0.000
0.000 5.830 0.000
0.000 0.000 10.491
Cd Re S
4 4 8
direct
0.000 0.000 0.000 Cd
0.000 0.500 0.250 Cd
0.500 0.000 0.750 Cd
0.500 0.500 0.500 Cd
0.000 0.000 0.500 Re
0.000 0.500 0.750 Re
0.500 0.000 0.250 Re
0.500 0.500 0.000 Re
0.196 0.250 0.625 S
0.250 0.696 0.875 S
0.250 0.804 0.375 S
0.304 0.250 0.125 S
0.696 0.750 0.125 S
0.750 0.196 0.375 S
0.750 0.304 0.875 S
0.804 0.750 0.625 S
```

Output
Uncorrected formation energy (meV per atom): 107.4

(6)
Computed, not measured: a relaxed structure of LiTlCdCl4 at the PBE level of DFT.

Structure (POSCAR):
```
LiTlCdCl4
1.0
6.560 0.000 0.000
0.000 6.979 0.000
-0.544 0.000 8.162
Li Tl Cd Cl
2 2 2 8
direct
0.166 0.250 0.327 Li
0.834 0.750 0.673 Li
0.265 0.250 0.915 Tl
0.735 0.750 0.085 Tl
0.323 0.750 0.557 Cd
0.677 0.250 0.443 Cd
0.037 0.250 0.584 Cl
0.133 0.750 0.844 Cl
0.416 0.001 0.299 Cl
0.416 0.499 0.299 Cl
0.584 0.501 0.701 Cl
0.584 0.999 0.701 Cl
0.867 0.250 0.156 Cl
0.963 0.750 0.416 Cl
```

Output
Uncorrected formation energy (meV per atom): -1233.2

(7)
Computed, not measured: a relaxed structure of NaFeI4 at the PBE level of DFT.

Structure (POSCAR):
```
NaFeI4
1.0
7.063 0.000 0.000
0.000 7.063 0.000
0.000 0.000 12.274
Na Fe I
2 2 8
direct
0.000 0.000 0.000 Na
0.000 0.000 0.500 Na
0.000 0.500 0.250 Fe
0.500 0.000 0.750 Fe
0.224 0.298 0.366 I
0.224 0.702 0.134 I
0.298 0.224 0.866 I
0.298 0.776 0.634 I
0.702 0.224 0.634 I
0.702 0.776 0.866 I
0.776 0.298 0.134 I
0.776 0.702 0.366 I
```

Output
Uncorrected formation energy (meV per atom): -515.2

(8)
Computed, not measured: a relaxed structure of Cs2TlGaBr6 at the PBE level of DFT.

Structure (POSCAR):
```
Cs2TlGaBr6
1.0
0.000 5.756 5.756
5.756 0.000 5.756
5.756 5.756 0.000
Cs Tl Ga Br
2 1 1 6
direct
0.250 0.250 0.250 Cs
0.750 0.750 0.750 Cs
0.000 0.000 0.000 Tl
0.500 0.500 0.500 Ga
0.275 0.275 0.725 Br
0.275 0.725 0.275 Br
0.275 0.725 0.725 Br
0.725 0.275 0.275 Br
0.725 0.275 0.725 Br
0.725 0.725 0.275 Br
```

Output
Uncorrected formation energy (meV per atom): -1205.1

(9)
Computed, not measured: a relaxed structure of Cs3AgF5 at the PBE level of DFT.

Structure (POSCAR):
```
Cs3AgF5
1.0
7.996 0.000 0.000
0.000 7.996 0.000
0.000 0.000 6.997
Cs Ag F
6 2 10
direct
0.000 0.000 0.000 Cs
0.177 0.323 0.500 Cs
0.323 0.823 0.500 Cs
0.500 0.500 0.000 Cs
0.677 0.177 0.500 Cs
0.823 0.677 0.500 Cs
0.000 0.500 0.000 Ag
0.500 0.000 0.000 Ag
0.000 0.000 0.500 F
0.134 0.634 0.207 F
0.134 0.634 0.793 F
0.366 0.134 0.207 F
0.366 0.134 0.793 F
0.500 0.500 0.500 F
0.634 0.866 0.207 F
0.634 0.866 0.793 F
0.866 0.366 0.207 F
0.866 0.366 0.793 F
```

Output
Uncorrected formation energy (meV per atom): -2203.6
ΔE to the lowest computed polymorph (eV/atom): 0.000

(10)
Computed, not measured: a relaxed structure of CsGaAuF6 at the PBE level of DFT.

Structure (POSCAR):
```
CsGaAuF6
1.0
5.710 0.000 0.000
-2.628 5.120 0.000
-0.099 -0.138 6.267
Cs Ga Au F
1 1 1 6
direct
0.000 0.000 0.000 Cs
0.658 0.339 0.498 Ga
0.325 0.677 0.500 Au
0.368 0.041 0.643 F
0.384 0.382 0.327 F
0.618 0.607 0.674 F
0.655 0.107 0.289 F
0.894 0.333 0.701 F
0.955 0.630 0.354 F
```

Output
Uncorrected formation energy (meV per atom): -2093.0

(11)
Computed, not measured: a relaxed structure of Tb4PmEr4 at the PBE level of DFT.

Structure (POSCAR):
```
Tb4PmEr4
1.0
3.139 -8.563 0.000
3.139 8.563 0.000
-1.777 0.000 10.630
Tb Pm Er
8 2 8
direct
0.141 0.857 0.334 Tb
0.143 0.857 0.000 Tb
0.143 0.859 0.666 Tb
0.315 0.685 0.500 Tb
0.685 0.315 0.500 Tb
0.857 0.141 0.334 Tb
0.857 0.143 0.000 Tb
0.859 0.143 0.666 Tb
0.276 0.276 0.220 Pm
0.724 0.724 0.780 Pm
0.274 0.274 0.555 Er
0.275 0.275 0.887 Er
0.310 0.681 0.834 Er
0.319 0.690 0.166 Er
0.681 0.310 0.834 Er
0.690 0.319 0.166 Er
0.725 0.725 0.113 Er
0.726 0.726 0.445 Er
```

Output
Electronic total energy (eV per atom): -4.530

(12)
Computed, not measured: a relaxed structure of AsSI at the PBE level of DFT.

Structure (POSCAR):
```
AsSI
1.0
5.449 -4.501 0.000
5.449 4.501 0.000
0.000 0.000 10.518
As S I
4 4 4
direct
0.151 0.849 0.921 As
0.349 0.651 0.421 As
0.651 0.349 0.579 As
0.849 0.151 0.079 As
0.150 0.150 0.000 S
0.350 0.350 0.500 S
0.650 0.650 0.500 S
0.850 0.850 0.000 S
0.082 0.918 0.673 I
0.418 0.582 0.173 I
0.582 0.418 0.827 I
0.918 0.082 0.327 I
```

Output
Uncorrected formation energy (meV per atom): -105.2

(13)
Computed, not measured: a relaxed structure of NaAc3Nd3Te8 at the PBE level of DFT.

Structure (POSCAR):
```
NaAc3Nd3Te8
1.0
4.587 2.648 7.560
-4.587 2.648 7.560
0.000 -5.297 7.560
Na Ac Nd Te
1 3 3 8
direct
0.000 0.000 0.000 Na
0.000 0.000 0.500 Ac
0.000 0.500 0.000 Ac
0.500 0.000 0.000 Ac
0.000 0.500 0.500 Nd
0.500 0.000 0.500 Nd
0.500 0.500 0.000 Nd
0.252 0.252 0.739 Te
0.252 0.739 0.252 Te
0.255 0.255 0.255 Te
0.261 0.748 0.748 Te
0.739 0.252 0.252 Te
0.745 0.745 0.745 Te
0.748 0.261 0.748 Te
0.748 0.748 0.261 Te
```

Output
Uncorrected formation energy (meV per atom): -1439.1

(14)
Computed, not measured: a relaxed structure of MgBr4 at the PBE level of DFT.

Structure (POSCAR):
```
MgBr4
1.0
9.671 0.000 0.000
0.000 9.671 0.000
0.000 0.000 3.638
Mg Br
2 8
direct
0.000 0.000 0.000 Mg
0.500 0.500 0.500 Mg
0.100 0.208 0.500 Br
0.208 0.900 0.500 Br
0.292 0.600 0.000 Br
0.400 0.292 0.000 Br
0.600 0.708 0.000 Br
0.708 0.400 0.000 Br
0.792 0.100 0.500 Br
0.900 0.792 0.500 Br
```

Output
Uncorrected formation energy (meV per atom): -418.2

(15)
Computed, not measured: a relaxed structure of La3Sc at the PBE level of DFT.

Structure (POSCAR):
```
La3Sc
1.0
5.105 0.000 0.000
0.000 5.105 0.000
0.000 0.000 5.105
La Sc
3 1
direct
0.000 0.000 0.500 La
0.000 0.500 0.000 La
0.500 0.000 0.000 La
0.500 0.500 0.500 Sc
```

Output
Electronic total energy (eV per atom): -5.245

(16)
Computed, not measured: a relaxed structure of SmZr2Zn at the PBE level of DFT.

Structure (POSCAR):
```
SmZr2Zn
1.0
3.184 0.000 0.000
-1.592 2.757 0.000
0.000 0.000 32.934
Sm Zr Zn
3 6 3
direct
0.000 0.000 0.000 Sm
0.333 0.667 0.667 Sm
0.667 0.333 0.333 Sm
0.000 0.000 0.099 Zr
0.000 0.000 0.901 Zr
0.333 0.667 0.568 Zr
0.333 0.667 0.765 Zr
0.667 0.333 0.235 Zr
0.667 0.333 0.432 Zr
0.000 0.000 0.500 Zn
0.333 0.667 0.167 Zn
0.667 0.333 0.833 Zn
```

Output
ΔE to the lowest computed polymorph (eV/atom): 0.266

(17)
Computed, not measured: a relaxed structure of ScZn2Pd4 at the PBE level of DFT.

Structure (POSCAR):
```
ScZn2Pd4
1.0
6.249 0.000 0.000
0.000 6.249 0.000
0.000 0.000 5.948
Sc Zn Pd
2 4 8
direct
0.000 0.000 0.000 Sc
0.500 0.500 0.500 Sc
0.000 0.500 0.000 Zn
0.000 0.500 0.500 Zn
0.500 0.000 0.000 Zn
0.500 0.000 0.500 Zn
0.250 0.250 0.250 Pd
0.250 0.250 0.750 Pd
0.250 0.750 0.250 Pd
0.250 0.750 0.750 Pd
0.750 0.250 0.250 Pd
0.750 0.250 0.750 Pd
0.750 0.750 0.250 Pd
0.750 0.750 0.750 Pd
```

Output
Electronic total energy (eV per atom): -4.750

(18)
Computed, not measured: a relaxed structure of ScC5 at the PBE level of DFT.

Structure (POSCAR):
```
ScC5
1.0
4.649 0.000 0.000
-2.325 4.026 0.000
0.000 0.000 2.491
Sc C
1 5
direct
0.000 0.000 0.000 Sc
0.000 0.500 0.500 C
0.333 0.667 0.000 C
0.500 0.000 0.500 C
0.500 0.500 0.500 C
0.667 0.333 0.000 C
```

Output
ΔE to the lowest computed polymorph (eV/atom): 1.851

(19)
Computed, not measured: a relaxed structure of Pm6Pr3Y2Tm at the PBE level of DFT.

Structure (POSCAR):
```
Pm6Pr3Y2Tm
1.0
3.158 -5.472 0.000
3.158 5.472 0.000
-2.106 0.000 11.861
Pm Pr Y Tm
6 3 2 1
direct
0.082 0.414 0.245 Pm
0.250 0.250 0.755 Pm
0.414 0.082 0.245 Pm
0.586 0.918 0.755 Pm
0.750 0.750 0.245 Pm
0.918 0.586 0.755 Pm
0.167 0.833 0.500 Pr
0.500 0.500 0.500 Pr
0.833 0.167 0.500 Pr
0.333 0.667 0.000 Y
0.667 0.333 0.000 Y
0.000 0.000 0.000 Tm
```

Output
Electronic total energy (eV per atom): -5.003

(20)
Computed, not measured: a relaxed structure of La6Nd2Pu at the PBE level of DFT.

Structure (POSCAR):
```
La6Nd2Pu
1.0
14.205 -3.276 0.000
14.205 3.276 0.000
-0.828 0.000 6.859
La Nd Pu
12 4 2
direct
0.065 0.828 0.901 La
0.095 0.240 0.921 La
0.172 0.935 0.599 La
0.240 0.095 0.421 La
0.287 0.507 0.452 La
0.493 0.713 0.048 La
0.507 0.287 0.952 La
0.713 0.493 0.548 La
0.760 0.905 0.579 La
0.828 0.065 0.401 La
0.905 0.760 0.079 La
0.935 0.172 0.099 La
0.190 0.369 0.703 Nd
0.369 0.190 0.203 Nd
0.631 0.810 0.797 Nd
0.810 0.631 0.297 Nd
0.442 0.558 0.250 Pu
0.558 0.442 0.750 Pu
```

Output
Electronic total energy (eV per atom): -5.864